Here is a relaxed structure of YSc2AgO from the Alexandria database. Energies are from PBE.

Geometry as POSCAR:
```
YSc2AgO
1.0
-2.080 1.240 -3.717
3.289 -1.735 -2.419
-2.288 -4.178 -0.114
Y Sc O Ag
1 2 1 1
Direct
0.000 0.000 0.500
0.000 0.500 0.000
0.500 0.000 0.000
0.000 0.000 0.000
0.500 0.500 0.500
```

Calculated values
Calculated volume: 18.75 A^3/atom
Uncorrected energy: -33.37 eV per cell
Uncorrected formation energy: -1.286 eV/atom
ρ: 5.361 g cm⁻³
Symmetry: P4/mmm, No. 123

Here is a relaxed structure of ZrSc2AgO from the Alexandria database. Energies are from PBE.

Geometry as POSCAR:
```
ZrSc2AgO
1.0
4.407 0.000 0.000
0.000 4.407 0.000
0.000 0.000 4.482
Sc O Zr Ag
2 1 1 1
Direct
0.000 0.500 0.000
0.500 0.000 0.000
0.000 0.000 0.000
0.000 0.000 0.500
0.500 0.500 0.500
```

Calculated values
Calculated volume: 17.41 A^3/atom
Uncorrected energy: -35.24 eV per cell
Uncorrected formation energy: -1.243 eV/atom
ρ: 5.818 g cm⁻³
Symmetry: P4/mmm, No. 123

Here is a relaxed structure of Ag4SeO5 from the Alexandria database. Energies are from PBE.

Geometry as POSCAR:
```
Ag4SeO5
1.0
4.758 0.000 0.000
2.379 5.406 0.000
2.379 0.000 5.406
Ag Se O
4 1 5
Direct
0.419 0.424 0.763
0.843 0.763 0.576
0.182 0.237 0.424
0.606 0.576 0.237
0.063 0.000 0.000
0.914 0.300 0.859
0.214 0.859 0.700
0.773 0.141 0.300
0.073 0.700 0.141
0.424 0.000 0.000
```

Calculated values
Calculated volume: 13.90 A^3/atom
Uncorrected energy: -41.75 eV per cell
Uncorrected formation energy: -0.207 eV/atom
ρ: 7.052 g cm⁻³
Symmetry: I4, No. 79

Here is a relaxed structure of Ag5SeO8 from the Alexandria database. Energies are from PBE.

Geometry as POSCAR:
```
Ag5SeO8
1.0
6.771 0.569 -0.979
-1.755 6.564 0.979
-3.261 -3.038 5.222
Ag Se O
5 1 8
Direct
0.063 0.476 0.089
0.911 0.974 0.387
0.613 0.524 0.588
0.500 0.000 0.500
0.412 0.026 0.937
0.250 0.500 0.750
0.080 0.647 0.759
0.241 0.321 0.888
0.656 0.121 0.355
0.645 0.301 0.766
0.465 0.699 0.344
0.567 0.679 0.920
0.112 0.353 0.433
0.234 0.879 0.535
```

Calculated values
Calculated volume: 16.39 A^3/atom
Uncorrected energy: -58.32 eV per cell
Uncorrected formation energy: -0.065 eV/atom
ρ: 5.401 g cm⁻³
Symmetry: I-4, No. 82

Here is a relaxed structure of Ag3SeO6 from the Alexandria database. Energies are from PBE.

Geometry as POSCAR:
```
Ag3SeO6
1.0
5.768 0.000 0.000
0.000 7.114 -1.693
0.000 -0.052 7.312
Ag Se O
6 2 12
Direct
0.484 0.907 0.666
0.984 0.666 0.907
0.494 0.471 0.529
0.994 0.529 0.471
0.984 0.093 0.334
0.484 0.334 0.093
0.004 0.162 0.838
0.504 0.838 0.162
0.240 0.650 0.671
0.740 0.671 0.650
0.146 0.366 0.938
0.646 0.938 0.366
0.013 0.018 0.982
0.732 0.215 0.785
0.232 0.785 0.215
0.513 0.982 0.018
0.146 0.062 0.634
0.646 0.634 0.062
0.240 0.329 0.350
0.740 0.350 0.329
```

Calculated values
Calculated volume: 14.98 A^3/atom
Uncorrected energy: -88.39 eV per cell
Uncorrected formation energy: -0.241 eV/atom
ρ: 5.527 g cm⁻³
Symmetry: Cmc2_1, No. 36

Here is a relaxed structure of Ag2SeO6 from the Alexandria database. Energies are from PBE.

Geometry as POSCAR:
```
Ag2SeO6
1.0
4.811 0.000 0.000
0.000 4.811 0.000
0.000 0.000 9.432
Ag Se O
4 2 12
Direct
0.500 0.500 0.333
0.500 0.500 0.667
0.000 0.000 0.167
0.000 0.000 0.833
0.500 0.500 0.000
0.000 0.000 0.500
0.678 0.678 0.147
0.678 0.678 0.853
0.721 0.721 0.500
0.779 0.221 0.000
0.822 0.178 0.353
0.822 0.178 0.647
0.178 0.822 0.353
0.178 0.822 0.647
0.221 0.779 0.000
0.279 0.279 0.500
0.322 0.322 0.147
0.322 0.322 0.853
```

Calculated values
Calculated volume: 12.13 A^3/atom
Uncorrected energy: -78.57 eV per cell
Uncorrected formation energy: -0.039 eV/atom
ρ: 5.943 g cm⁻³
Symmetry: P4_2/mnm, No. 136

Here is a relaxed structure of Ag2SeO4 from the Alexandria database. Energies are from PBE.

Geometry as POSCAR:
```
Ag2SeO4
1.0
5.630 0.886 0.015
0.878 5.631 -0.015
-3.264 -3.248 3.240
Ag Se O
2 1 4
Direct
0.697 0.197 0.394
0.197 0.697 0.394
0.955 0.955 0.911
0.924 0.327 0.250
0.327 0.924 0.250
0.171 0.171 0.900
0.730 0.730 0.900
```

Calculated values
Calculated volume: 14.31 A^3/atom
Uncorrected energy: -30.92 eV per cell
Uncorrected formation energy: -0.271 eV/atom
ρ: 5.944 g cm⁻³
Symmetry: Fmm2, No. 42

Here is a relaxed structure of Ag5SeO6 from the Alexandria database. Energies are from PBE.

Geometry as POSCAR:
```
Ag5SeO6
1.0
5.900 0.516 0.000
2.143 5.695 0.000
1.072 2.848 5.096
Ag Se O
5 1 6
Direct
0.500 0.150 0.699
0.000 0.323 0.354
0.500 0.500 0.000
0.000 0.677 0.646
0.500 0.850 0.301
0.000 0.000 0.000
0.768 0.048 0.260
0.232 0.692 0.260
0.122 0.231 0.000
0.878 0.769 0.000
0.768 0.308 0.740
0.232 0.952 0.740
```

Calculated values
Calculated volume: 13.80 A^3/atom
Uncorrected energy: -49.86 eV per cell
Uncorrected formation energy: -0.198 eV/atom
ρ: 7.162 g cm⁻³
Symmetry: C2/m, No. 12

Here is a relaxed structure of Ag2SeO4 from the Alexandria database. Energies are from PBE.

Geometry as POSCAR:
```
Ag2SeO4
1.0
-5.372 6.005 -3.027
-6.863 -0.155 -1.679
-2.208 5.162 3.236
Ag Se O
4 2 8
Direct
0.200 0.800 0.200
0.800 0.200 0.800
0.050 0.450 0.050
0.450 0.050 0.450
0.500 0.500 0.500
0.750 0.750 0.750
0.354 0.495 0.822
0.329 0.822 0.495
0.822 0.329 0.354
0.495 0.354 0.329
0.896 0.755 0.428
0.921 0.428 0.755
0.755 0.896 0.921
0.428 0.921 0.896
```

Calculated values
Calculated volume: 15.72 A^3/atom
Uncorrected energy: -64.15 eV per cell
Uncorrected formation energy: -0.436 eV/atom
ρ: 5.414 g cm⁻³
Symmetry: Fddd, No. 70

Here is a relaxed structure of Ag3SeO from the Alexandria database. Energies are from PBE.

Geometry as POSCAR:
```
Ag3SeO
1.0
4.501 0.000 0.000
0.000 4.501 0.000
0.000 0.000 4.501
O Se Ag
1 1 3
Direct
0.000 0.000 0.000
0.500 0.500 0.500
0.000 0.500 0.000
0.000 0.000 0.500
0.500 0.000 0.000
```

Calculated values
Calculated volume: 18.23 A^3/atom
Uncorrected energy: -16.61 eV per cell
Uncorrected formation energy: 0.077 eV/atom
ρ: 7.625 g cm⁻³
Symmetry: Pm-3m, No. 221

Here is a relaxed structure of Ag3SeO from the Alexandria database. Energies are from PBE.

Geometry as POSCAR:
```
Ag3SeO
1.0
4.996 0.000 0.000
0.000 4.996 0.000
0.000 0.000 4.996
O Se Ag
1 1 3
Direct
0.500 0.500 0.500
0.000 0.000 0.000
0.000 0.500 0.000
0.000 0.000 0.500
0.500 0.000 0.000
```

Calculated values
Calculated volume: 24.94 A^3/atom
Uncorrected energy: -14.16 eV per cell
Uncorrected formation energy: 0.568 eV/atom
ρ: 5.573 g cm⁻³
Symmetry: Pm-3m, No. 221

Here is a relaxed structure of AgSe3O from the Alexandria database. Energies are from PBE.

Geometry as POSCAR:
```
AgSe3O
1.0
5.032 0.000 0.000
0.000 5.032 0.000
0.000 0.000 5.032
O Se Ag
1 3 1
Direct
0.500 0.500 0.500
0.000 0.500 0.000
0.000 0.000 0.500
0.500 0.000 0.000
0.000 0.000 0.000
```

Calculated values
Calculated volume: 25.48 A^3/atom
Uncorrected energy: -11.57 eV per cell
Uncorrected formation energy: 1.339 eV/atom
ρ: 4.701 g cm⁻³
Symmetry: Pm-3m, No. 221